Record 1
Ti3HIr: optimized geometry, GGA-PBEsol.

Values from the calculation:
DFT total energy, eV/atom: -8.081
DOS at the Fermi energy, states/eV/cell: 5.918
V, Å³/f.u.: 62.86
Energy relative to the lowest polymorph listed for this composition, kcal/mol of atoms: 0.00
Symmetry: No. 221

abc: 3.976 3.976 3.976
angles: 90.00 90.00 90.00
Atoms (fractional coordinates):
Ti 0.000 0.000 0.500
Ti 0.000 0.500 0.000
Ti 0.500 0.000 0.000
H 0.000 0.000 0.000
Ir 0.500 0.500 0.500

***

Record 2
Sr3HfZn: optimized geometry, GGA-PBEsol.

Values from the calculation:
DFT total energy, eV/atom: -2.771
DOS at the Fermi energy, states/eV/cell: 7.757
V, Å³/f.u.: 199.76
Formation energy from the elements, meV per atom: 750.3
Symmetry: No. 221

abc: 5.846 5.846 5.846
angles: 90.00 90.00 90.00
Atoms (fractional coordinates):
Sr 0.000 0.000 0.500
Sr 0.000 0.500 0.000
Sr 0.500 0.000 0.000
Hf 0.500 0.500 0.500
Zn 0.000 0.000 0.000

***

Record 3
NaTiS2: optimized geometry, GGA-PBEsol.

Values from the calculation:
Formation energy (no corrections), eV per formula unit: -1.28
DFT total energy, eV/atom: -4.942
DOS at the Fermi energy, states/eV/cell: 3.808
V, Å³/f.u.: 91.28
Symmetry: No. 166

abc: 8.386 8.386 8.386
angles: 24.80 24.80 24.80
Atoms (fractional coordinates):
Na 0.000 0.000 0.000
Ti 0.500 0.500 0.500
S 0.410 0.410 0.410
S 0.590 0.590 0.590

***

Record 4
YPbI2O: optimized geometry, GGA-PBEsol.

Values from the calculation:
Formation energy (no corrections), eV per formula unit: -6.20
DFT total energy, eV/atom: -5.161
DOS at the Fermi energy, states/eV/cell: 2.694
V, Å³/f.u.: 154.57
Symmetry: No. 123

abc: 6.132 6.132 4.111
angles: 90.00 90.00 90.00
Atoms (fractional coordinates):
Y 0.000 0.000 0.000
Pb 0.500 0.500 0.500
I 0.000 0.500 0.000
I 0.500 0.000 0.000
O 0.000 0.000 0.500

***

Record 5
Zr5Cd3: optimized geometry, GGA-PBEsol.

Values from the calculation:
DFT total energy, eV/atom: -6.223
DOS at the Fermi energy, states/eV/cell: 8.012
V, Å³/f.u.: 167.33
Formation energy from the elements, meV per atom: -93.0
Symmetry: No. 65

abc: 6.170 6.170 4.395
angles: 90.00 90.00 90.38
Atoms (fractional coordinates):
Zr 0.000 0.000 0.000
Zr 0.000 0.500 0.000
Zr 0.243 0.243 0.500
Zr 0.500 0.000 0.000
Zr 0.757 0.757 0.500
Cd 0.255 0.745 0.500
Cd 0.500 0.500 0.000
Cd 0.745 0.255 0.500

***

Record 6
LaBeSn3: optimized geometry, GGA-PBEsol.

Values from the calculation:
DFT total energy, eV/atom: -3.112
DOS at the Fermi energy, states/eV/cell: 7.487
V, Å³/f.u.: 208.37
Formation energy from the elements, meV per atom: 1313.2
Symmetry: No. 221

abc: 5.929 5.929 5.929
angles: 90.00 90.00 90.00
Atoms (fractional coordinates):
La 0.000 0.000 0.000
Be 0.500 0.500 0.500
Sn 0.000 0.000 0.500
Sn 0.000 0.500 0.000
Sn 0.500 0.000 0.000